# Ba2NiGeN

An optimized crystal structure of Ba2NiGeN (PBE-GGA, Alexandria via LeMat-Bulk).

Computed properties:
**Raw formation energy**: -0.39 eV per atom
**Space group**: P4/mmm
**Total moment**: 0.00 μB/atom

Geometry as POSCAR:
```
Ba2NiGeN
1.0
5.938 0.000 0.000
0.000 5.938 0.000
0.000 0.000 3.541
Ba Ni Ge N
2 1 1 1
direct
0.000 0.500 0.000
0.500 0.000 0.000
0.000 0.000 0.500
0.500 0.500 0.500
0.000 0.000 0.000
```